No. 1
This record from Alexandria describes a relaxed ScSnW crystal. The functional is GGA-PBE.

Cell lengths 4.6616, 7.4035, 7.4035 Å; angles 28.37, 90.00, 90.00 degrees
Positions (direct):
Sc (0.0000, 0.0000, 0.0000)
Sc (0.0000, 0.3213, 0.3213)
Sn (0.0000, 0.6603, 0.6603)
Sn (0.5000, 0.4636, 0.4636)
W (0.5000, 0.1644, 0.1644)
W (0.5000, 0.7914, 0.7914)

## Properties
* calculated formation energy: -0.02 eV/atom

---

No. 2
This record from Alexandria describes a relaxed ZnSb2 crystal. The functional is GGA-PBE.

Cell lengths 5.9143, 5.9143, 5.9143 Å; angles 100.58, 100.58, 129.26 degrees
Positions (direct):
Zn (0.2500, 0.2500, 0.0000)
Zn (0.7500, 0.7500, 0.0000)
Sb (0.1440, 0.6440, 0.7879)
Sb (0.3560, 0.1440, 0.5000)
Sb (0.6440, 0.8560, 0.5000)
Sb (0.8560, 0.3560, 0.2121)

## Properties
* DFT total energy: -2.959 eV/atom

---

No. 3
This record from Alexandria describes a relaxed AlZn2Au4 crystal. The functional is GGA-PBE.

Cell lengths 5.4465, 7.0757, 7.2648 Å; angles 62.46, 82.59, 74.88 degrees
Positions (direct):
Al (0.0000, 0.0000, 0.0000)
Al (0.2429, 0.5048, 0.6334)
Zn (0.2831, 0.1872, 0.4836)
Zn (0.5902, 0.8305, 0.4376)
Zn (0.7697, 0.2190, 0.5155)
Zn (0.7904, 0.7216, 0.8871)
Au (0.0734, 0.9268, 0.3922)
Au (0.1304, 0.3444, 0.0420)
Au (0.2811, 0.7736, 0.7963)
Au (0.4460, 0.6551, 0.2127)
Au (0.4842, 0.0880, 0.8631)
Au (0.6231, 0.2307, 0.1762)
Au (0.7516, 0.4347, 0.7453)
Au (0.9589, 0.5801, 0.3059)

## Properties
* calculated formation energy: -0.21 eV/atom

---

No. 4
This record from Alexandria describes a relaxed TbPaRh2 crystal. The functional is GGA-PBE.

Cell lengths 4.8759, 4.8759, 4.8759 Å; angles 60.00, 60.00, 60.00 degrees
Positions (direct):
Tb (0.0000, 0.0000, 0.0000)
Pa (0.5000, 0.5000, 0.5000)
Rh (0.2500, 0.2500, 0.2500)
Rh (0.7500, 0.7500, 0.7500)

## Properties
* calculated formation energy: -0.67 eV/atom

---

No. 5
This record from Alexandria describes a relaxed Li13Ge2 crystal. The functional is GGA-PBE.

Cell lengths 7.6477, 7.6477, 7.6477 Å; angles 62.23, 62.23, 62.23 degrees
Positions (direct):
Li (0.0000, 0.0000, 0.0000)
Li (0.0107, 0.0107, 0.6433)
Li (0.0107, 0.6433, 0.0107)
Li (0.2320, 0.2320, 0.5932)
Li (0.2320, 0.5932, 0.2320)
Li (0.3567, 0.9893, 0.9893)
Li (0.4068, 0.7680, 0.7680)
Li (0.5932, 0.2320, 0.2320)
Li (0.6433, 0.0107, 0.0107)
Li (0.7680, 0.4068, 0.7680)
Li (0.7680, 0.7680, 0.4068)
Li (0.9893, 0.3567, 0.9893)
Li (0.9893, 0.9893, 0.3567)
Ge (0.2357, 0.2357, 0.2357)
Ge (0.7643, 0.7643, 0.7643)

## Properties
* calculated formation energy: 0.07 eV/atom

---

No. 6
This record from Alexandria describes a relaxed CdCo2Ir crystal. The functional is GGA-PBE.

Cell lengths 5.5902, 5.5902, 5.5902 Å; angles 103.16, 103.16, 122.99 degrees
Positions (direct):
Cd (0.0000, 0.0000, 0.0000)
Cd (0.7500, 0.2500, 0.5000)
Co (0.1637, 0.6250, 0.0387)
Co (0.3750, 0.4137, 0.5387)
Co (0.5863, 0.1250, 0.9613)
Co (0.8750, 0.8363, 0.4613)
Ir (0.2500, 0.7500, 0.5000)
Ir (0.5000, 0.5000, 0.0000)

## Properties
* calculated formation energy: 0.65 eV/atom

---

No. 7
This record from Alexandria describes a relaxed Pr2BrO2 crystal. The functional is GGA-PBE.

Cell lengths 4.2225, 4.2225, 6.7667 Å; angles 108.00, 108.00, 90.00 degrees
Positions (direct):
Pr (0.1604, 0.1604, 0.3190)
Pr (0.8396, 0.8396, 0.6810)
Br (0.5000, 0.5000, 0.0000)
O (0.2499, 0.7501, 0.5000)
O (0.7501, 0.2499, 0.5000)

## Properties
* DFT total energy: -6.964 eV/atom

---

No. 8
This record from Alexandria describes a relaxed Tl2SiN crystal. The functional is GGA-PBE.

Cell lengths 4.8781, 4.8781, 4.8781 Å; angles 60.00, 60.00, 60.00 degrees
Positions (direct):
Tl (0.2500, 0.2500, 0.2500)
Tl (0.7500, 0.7500, 0.7500)
Si (0.0000, 0.0000, 0.0000)
N (0.5000, 0.5000, 0.5000)

## Properties
* DFT total energy: -3.306 eV/atom

---

No. 9
This record from Alexandria describes a relaxed CaNiMo2 crystal. The functional is GGA-PBE.

Cell lengths 3.7359, 3.7359, 4.9547 Å; angles 90.00, 90.00, 90.00 degrees
Positions (direct):
Ca (0.0000, 0.0000, 0.0000)
Ni (0.5000, 0.5000, 0.0000)
Mo (0.0000, 0.5000, 0.5000)
Mo (0.5000, 0.0000, 0.5000)

## Properties
* calculated formation energy: 0.57 eV/atom

---

No. 10
This record from Alexandria describes a relaxed Tl4BiPt2 crystal. The functional is GGA-PBE.

Cell lengths 5.1395, 4.4273, 8.2375 Å; angles 90.00, 96.83, 90.00 degrees
Positions (direct):
Tl (0.2327, 0.0000, 0.3618)
Tl (0.2599, 0.5000, 0.7094)
Tl (0.7401, 0.5000, 0.2906)
Tl (0.7673, 0.0000, 0.6382)
Bi (0.5000, 0.0000, 0.0000)
Pt (0.2032, 0.5000, 0.1213)
Pt (0.7968, 0.5000, 0.8787)

## Properties
* calculated formation energy: 0.02 eV/atom

---

No. 11
This record from Alexandria describes a relaxed Te2RhI crystal. The functional is GGA-PBE.

Cell lengths 9.9110, 4.0385, 12.3364 Å; angles 90.00, 90.00, 90.00 degrees
Positions (direct):
Te (0.1335, 0.2500, 0.0494)
Te (0.1333, 0.7500, 0.7685)
Te (0.3667, 0.2500, 0.2685)
Te (0.3665, 0.7500, 0.5494)
Te (0.6335, 0.2500, 0.4506)
Te (0.6333, 0.7500, 0.7315)
Te (0.8667, 0.2500, 0.2315)
Te (0.8665, 0.7500, 0.9506)
Rh (0.0048, 0.2500, 0.8628)
Rh (0.4952, 0.7500, 0.3628)
Rh (0.5048, 0.2500, 0.6372)
Rh (0.9952, 0.7500, 0.1372)
I (0.1075, 0.2500, 0.3938)
I (0.3925, 0.7500, 0.8938)
I (0.6075, 0.2500, 0.1062)
I (0.8925, 0.7500, 0.6062)

## Properties
* DFT total energy: -3.945 eV/atom

---

No. 12
This record from Alexandria describes a relaxed BaY2W crystal. The functional is GGA-PBE.

Cell lengths 3.3980, 5.2735, 7.4456 Å; angles 90.00, 102.77, 90.00 degrees
Positions (direct):
Ba (0.0000, 0.0000, 0.0000)
Y (0.3049, 0.5000, 0.6273)
Y (0.7122, 0.0000, 0.4390)
W (0.6406, 0.5000, 0.2864)

## Properties
* calculated formation energy: 0.75 eV/atom

---

| no. | mass density (g cm⁻³) |
| --- | --- |
| 1 | 9.51 |
| 2 | 7.09 |
| 3 | 13.11 |
| 4 | 12.07 |
| 5 | 1.18 |
| 6 | 10.90 |
| 7 | 6.02 |
| 8 | 9.12 |
| 9 | 6.98 |
| 10 | 12.64 |
| 11 | 6.52 |
| 12 | 6.37 |